# RbCuBr2

Crystalline RbCuBr2 at its relaxed geometry (PBE, the Alexandria database).

Output
As for the density of states at the Fermi level: 0.000 states/eV/atom. The total magnetic moment comes out at 0.000 μB per cell. The calculation puts the uncorrected formation energy at -0.97 eV per atom. As for the space group: No. 122. For the distance to the lowest polymorph of the same formula, the calculation gives 0.114 eV/atom. For the total DFT energy (no corrections), the calculation gives -3.07 eV/atom.

abc: 7.7362 7.7362 6.8951
angles: 55.88 55.88 90.00
Closest atoms and distances in Å follow each position.
Fractional coordinates of all 8 atoms:
Br (0.2241, 0.6250, 0.2500)  2 Cu 2.49
Br (0.5259, 0.1250, 0.2500)  2 Cu 2.49
Br (0.3750, 0.4741, 0.7500)  2 Cu 2.49
Br (0.8750, 0.7759, 0.7500)  2 Cu 2.49
Cu (0.5000, 0.5000, 0.0000)  4 Br 2.49
Cu (0.2500, 0.7500, 0.5000)  4 Br 2.49
Rb (0.0000, 0.0000, 0.0000)  8 Br 3.48-3.87
Rb (0.7500, 0.2500, 0.5000)  8 Br 3.48-3.87